{"formula": "CoGe2PbO6", "functional": "GGA+U", "state": "optimized geometry", "e_above_lowest_polymorph_mev_per_atom": 809.7, "total_energy_ev_per_atom": -5.16, "lattice": [[1.056, 1.773, 5.160], [-2.917, 4.636, -0.938], [-2.309, -4.985, -0.836]], "species": ["Co", "Ge", "Ge", "O", "O", "O", "O", "O", "O", "Pb"], "fractional_positions": [[0.000, 0.000, 0.000], [0.750, 0.250, 0.500], [0.250, 0.750, 0.500], [0.767, 0.233, 0.000], [0.236, 0.236, 0.000], [0.764, 0.764, 0.000], [0.233, 0.767, 0.000], [0.233, 0.233, 0.466], [0.767, 0.767, 0.534], [0.500, 0.500, 0.000]]}